This record from Alexandria via LeMat-Bulk describes a relaxed structure of Na3Tl3SnBr8. The functional is PBE.

Cell: 8.8474 8.8499 9.2391 Å, 118.64 90.00 119.99°
Atoms (fractional coordinates):
Na 0.5000 0.0000 0.5000
Na 0.5000 0.5000 0.5000
Na 0.0000 0.5000 0.5000
Tl 0.0000 0.0000 0.0000
Tl 0.0000 0.5000 0.0000
Tl 0.5000 0.5000 0.0000
Sn 0.0000 0.0000 0.5000
Br 0.2608 0.5216 0.2827
Br 0.7392 0.4784 0.7173
Br 0.7632 0.5265 0.2858
Br 0.2368 0.4735 0.7142
Br 0.7631 0.0225 0.2859
Br 0.2369 0.9775 0.7141
Br 0.2594 0.0225 0.2859
Br 0.7406 0.9775 0.7141

## Properties
Crystal system: trigonal
Space-group type: R-3m (166)

This record from Alexandria via LeMat-Bulk describes a relaxed structure of NaTmSn2Br8. The functional is PBE.

Cell: 7.1356 6.7635 8.6938 Å, 89.99 90.00 88.69°
Atoms (fractional coordinates):
Na 0.0000 0.0000 0.5000
Tm 0.0000 0.0000 0.0000
Sn 0.5001 0.5000 0.7474
Sn 0.4999 0.5000 0.2526
Br 0.1526 0.7672 0.2349
Br 0.6822 0.7686 0.9999
Br 0.8472 0.2326 0.2349
Br 0.8474 0.2328 0.7651
Br 0.3178 0.2314 0.0001
Br 0.1528 0.7674 0.7651
Br 0.6542 0.7291 0.5000
Br 0.3458 0.2709 0.5000

## Properties
Crystal system: monoclinic
Space-group type: P2/m (10)

This record from Alexandria via LeMat-Bulk describes a relaxed structure of NaTmSnBr6. The functional is PBE.

Cell: 7.3204 7.3204 12.9991 Å, 90.00 90.00 120.00°
Atoms (fractional coordinates):
Na 0.3333 0.6667 0.2500
Na 0.6667 0.3333 0.7500
Tm 0.6667 0.3333 0.2500
Tm 0.3333 0.6667 0.7500
Sn 0.0000 0.0000 0.0000
Sn 0.0000 0.0000 0.5000
Br 0.6645 0.6436 0.1273
Br 0.9791 0.3355 0.1273
Br 0.3355 0.9791 0.6273
Br 0.0209 0.6645 0.8727
Br 0.3564 0.3355 0.3727
Br 0.9791 0.6436 0.3727
Br 0.6436 0.9791 0.8727
Br 0.6645 0.0209 0.3727
Br 0.0209 0.3564 0.6273
Br 0.3564 0.0209 0.1273
Br 0.6436 0.6645 0.6273
Br 0.3355 0.3564 0.8727

## Properties
Crystal system: trigonal
Space-group type: P-31c (163)

Asked for E_tot across the records above, the calculation gives -45.2; -42.1; -65.0 eV per cell in order.
Asked for total magnetic moment across the records above, the calculation gives 0.0000; 0.0000; 0.0000 μB per atom in order.